(1)
The following is a DFT calculation (PBE) of a relaxed BaLiAcSn crystal.

Results
Electronic total energy in eV/atom: -3.337
Formation energy in eV/f.u.: -1.4
DOS at the Fermi energy in states/eV per atom: 0.54

```
data_BaLiAcSn
_space_group_name_H-M_alt 'F -4 3 m'
_space_group_IT_number 216
_space_group_name_Hall 'F -4 2 3'
_cell_length_a 8.292
_cell_length_b 8.292
_cell_length_c 8.292
_cell_angle_alpha 90.00
_cell_angle_beta 90.00
_cell_angle_gamma 90.00
loop_
_atom_site_label
_atom_site_fract_x
_atom_site_fract_y
_atom_site_fract_z
Ba1 0.000 0.000 0.000
Li1 0.250 0.250 0.750
Ac1 0.000 0.000 0.500
Sn1 0.250 0.250 0.250
```

(2)
The following is a DFT calculation (PBE) of a relaxed Ba2Li2AcSn2 crystal.

Results
Electronic total energy in eV/atom: -3.337
Formation energy in eV/f.u.: -3.6
DOS at the Fermi energy in states/eV per atom: 0.33

```
data_Ba2Li2AcSn2
_space_group_name_H-M_alt 'R -3 m'
_space_group_IT_number 166
_space_group_name_Hall '-R 3 2"'
_cell_length_a 4.9924
_cell_length_b 4.9924
_cell_length_c 36.8288
_cell_angle_alpha 90.00
_cell_angle_beta 90.00
_cell_angle_gamma 120.00
loop_
_atom_site_label
_atom_site_fract_x
_atom_site_fract_y
_atom_site_fract_z
Ba1 0.0000 0.0000 0.1142
Li1 0.0000 0.0000 0.3841
Ac1 0.0000 0.0000 0.0000
Sn1 0.0000 0.0000 0.2781
```

(3)
The following is a DFT calculation (PBE) of a relaxed BaSrLiAc crystal.

Results
Electronic total energy in eV/atom: -2.182
Formation energy in eV/f.u.: 0.9
DOS at the Fermi energy in states/eV per atom: 1.46

```
data_BaSrLiAc
_space_group_name_H-M_alt 'F -4 3 m'
_space_group_IT_number 216
_space_group_name_Hall 'F -4 2 3'
_cell_length_a 9.057
_cell_length_b 9.057
_cell_length_c 9.057
_cell_angle_alpha 90.00
_cell_angle_beta 90.00
_cell_angle_gamma 90.00
loop_
_atom_site_label
_atom_site_fract_x
_atom_site_fract_y
_atom_site_fract_z
Ba1 0.000 0.000 0.000
Sr1 0.000 0.000 0.500
Li1 0.250 0.250 0.750
Ac1 0.250 0.250 0.250
```

(4)
The following is a DFT calculation (PBE) of a relaxed BaLiAcTe3 crystal.

Results
Formation energy without anion corrections in meV per atom: -1523
Electronic total energy in eV/atom: -4.418

```
data_BaLiAcTe3
_space_group_name_H-M_alt 'C m c m'
_space_group_IT_number 63
_space_group_name_Hall '-C 2c 2'
_cell_length_a 4.745
_cell_length_b 15.174
_cell_length_c 12.398
_cell_angle_alpha 90.00
_cell_angle_beta 90.00
_cell_angle_gamma 90.00
loop_
_atom_site_label
_atom_site_fract_x
_atom_site_fract_y
_atom_site_fract_z
Ba1 0.000 0.248 0.250
Li1 0.000 0.474 0.750
Ac1 0.000 0.000 0.000
Te1 0.000 0.079 0.750
Te2 0.000 0.359 0.574
```

(5)
The following is a DFT calculation (PBE) of a relaxed Ba3LiAc2Te6 crystal.

Results
Formation energy without anion corrections in meV per atom: -1577
Electronic total energy in eV/atom: -4.473
DOS at the Fermi energy in states/eV per atom: 0.32

```
data_Ba3LiAc2Te6
_space_group_name_H-M_alt 'C 1 2/m 1'
_space_group_IT_number 12
_space_group_name_Hall '-C 2y'
_cell_length_a 8.342
_cell_length_b 14.448
_cell_length_c 8.423
_cell_angle_alpha 90.00
_cell_angle_beta 109.34
_cell_angle_gamma 90.00
loop_
_atom_site_label
_atom_site_fract_x
_atom_site_fract_y
_atom_site_fract_z
Ba1 0.000 0.000 0.000
Ba2 0.000 0.333 0.000
Li1 0.000 0.500 0.500
Ac1 0.000 0.166 0.500
Te1 0.241 0.336 0.730
Te2 0.249 0.000 0.731
```

(6)
The following is a DFT calculation (PBE) of a relaxed BaLiAc2Tl4 crystal.

Results
Electronic total energy in eV/atom: -2.993
Formation energy in eV/f.u.: -2.4
DOS at the Fermi energy in states/eV per atom: 0.68

```
data_BaLiAc2Tl4
_space_group_name_H-M_alt 'R -3 m'
_space_group_IT_number 166
_space_group_name_Hall '-R 3 2"'
_cell_length_a 5.6743
_cell_length_b 5.6743
_cell_length_c 29.6561
_cell_angle_alpha 90.00
_cell_angle_beta 90.00
_cell_angle_gamma 120.00
loop_
_atom_site_label
_atom_site_fract_x
_atom_site_fract_y
_atom_site_fract_z
Ba1 0.0000 0.0000 0.0000
Li1 0.0000 0.0000 0.5000
Ac1 0.0000 0.0000 0.2400
Tl1 0.0000 0.0000 0.1261
Tl2 0.0000 0.0000 0.3883
```

(7)
The following is a DFT calculation (PBE) of a relaxed BaLiAcTl crystal.

Results
Electronic total energy in eV/atom: -2.735
Formation energy in eV/f.u.: -0.6
DOS at the Fermi energy in states/eV per atom: 1.01

```
data_BaLiAcTl
_space_group_name_H-M_alt 'F -4 3 m'
_space_group_IT_number 216
_space_group_name_Hall 'F -4 2 3'
_cell_length_a 8.363
_cell_length_b 8.363
_cell_length_c 8.363
_cell_angle_alpha 90.00
_cell_angle_beta 90.00
_cell_angle_gamma 90.00
loop_
_atom_site_label
_atom_site_fract_x
_atom_site_fract_y
_atom_site_fract_z
Ba1 0.000 0.000 0.000
Li1 0.250 0.250 0.750
Ac1 0.000 0.000 0.500
Tl1 0.250 0.250 0.250
```

(8)
The following is a DFT calculation (PBE) of a relaxed BaLi2AcTl2 crystal.

Results
Electronic total energy in eV/atom: -2.699
Formation energy in eV/f.u.: -1.6
DOS at the Fermi energy in states/eV per atom: 1.23

```
data_BaLi2AcTl2
_space_group_name_H-M_alt 'P -3 m 1'
_space_group_IT_number 164
_space_group_name_Hall '-P 3 2"'
_cell_length_a 5.2056
_cell_length_b 5.2056
_cell_length_c 8.3002
_cell_angle_alpha 90.00
_cell_angle_beta 90.00
_cell_angle_gamma 120.00
loop_
_atom_site_label
_atom_site_fract_x
_atom_site_fract_y
_atom_site_fract_z
Ba1 0.0000 0.0000 0.0000
Li1 0.3333 0.6667 0.7087
Ac1 0.0000 0.0000 0.5000
Tl1 0.3333 0.6667 0.2906
```

(9)
The following is a DFT calculation (PBE) of a relaxed BaLi2Ac2Tl2 crystal.

Results
Electronic total energy in eV/atom: -2.876
Formation energy in eV/f.u.: -1.4
DOS at the Fermi energy in states/eV per atom: 0.71

```
data_BaLi2Ac2Tl2
_space_group_name_H-M_alt 'R -3 m'
_space_group_IT_number 166
_space_group_name_Hall '-R 3 2"'
_cell_length_a 5.1888
_cell_length_b 5.1888
_cell_length_c 30.9558
_cell_angle_alpha 90.00
_cell_angle_beta 90.00
_cell_angle_gamma 120.00
loop_
_atom_site_label
_atom_site_fract_x
_atom_site_fract_y
_atom_site_fract_z
Ba1 0.0000 0.0000 0.0000
Li1 0.0000 0.0000 0.4052
Ac1 0.0000 0.0000 0.1281
Tl1 0.0000 0.0000 0.2559
```

(10)
The following is a DFT calculation (PBE) of a relaxed BaAc2Lu crystal.

Results
Electronic total energy in eV/atom: -3.462
Formation energy in eV/f.u.: 0.8
DOS at the Fermi energy in states/eV per atom: 1.70

```
data_BaAc2Lu
_space_group_name_H-M_alt 'R -3 m'
_space_group_IT_number 166
_space_group_name_Hall '-R 3 2"'
_cell_length_a 3.8717
_cell_length_b 3.8717
_cell_length_c 40.8934
_cell_angle_alpha 90.00
_cell_angle_beta 90.00
_cell_angle_gamma 120.00
loop_
_atom_site_label
_atom_site_fract_x
_atom_site_fract_y
_atom_site_fract_z
Ba1 0.0000 0.0000 0.0000
Ac1 0.0000 0.0000 0.0953
Lu1 0.0000 0.0000 0.5000
```

(11)
The following is a DFT calculation (PBE) of a relaxed BaAcLu crystal.

Results
Electronic total energy in eV/atom: -3.350
Formation energy in eV/f.u.: 0.5
DOS at the Fermi energy in states/eV per atom: 1.52

```
data_BaAcLu
_space_group_name_H-M_alt 'I 4 m m'
_space_group_IT_number 107
_space_group_name_Hall 'I 4 -2'
_cell_length_a 3.987
_cell_length_b 3.987
_cell_length_c 16.357
_cell_angle_alpha 90.00
_cell_angle_beta 90.00
_cell_angle_gamma 90.00
loop_
_atom_site_label
_atom_site_fract_x
_atom_site_fract_y
_atom_site_fract_z
Ba1 0.000 0.000 0.000
Ac1 0.000 0.000 0.309
Lu1 0.000 0.000 0.669
```

(12)
The following is a DFT calculation (PBE) of a relaxed BaAc4Lu crystal.

Results
Electronic total energy in eV/atom: -3.491
Formation energy in eV/f.u.: 1.9
DOS at the Fermi energy in states/eV per atom: 1.52

```
data_BaAc4Lu
_space_group_name_H-M_alt 'F -4 3 m'
_space_group_IT_number 216
_space_group_name_Hall 'F -4 2 3'
_cell_length_a 10.407
_cell_length_b 10.407
_cell_length_c 10.407
_cell_angle_alpha 90.00
_cell_angle_beta 90.00
_cell_angle_gamma 90.00
loop_
_atom_site_label
_atom_site_fract_x
_atom_site_fract_y
_atom_site_fract_z
Ba1 0.000 0.000 0.000
Ac1 0.123 0.123 0.377
Lu1 0.250 0.250 0.750
```

(13)
The following is a DFT calculation (PBE) of a relaxed BaAcLu2 crystal.

Results
Electronic total energy in eV/atom: -3.456
Formation energy in eV/f.u.: 1.2
DOS at the Fermi energy in states/eV per atom: 1.35

```
data_BaAcLu2
_space_group_name_H-M_alt 'R -3 m'
_space_group_IT_number 166
_space_group_name_Hall '-R 3 2"'
_cell_length_a 3.6855
_cell_length_b 3.6855
_cell_length_c 39.1870
_cell_angle_alpha 90.00
_cell_angle_beta 90.00
_cell_angle_gamma 120.00
loop_
_atom_site_label
_atom_site_fract_x
_atom_site_fract_y
_atom_site_fract_z
Ba1 0.0000 0.0000 0.0000
Ac1 0.0000 0.0000 0.5000
Lu1 0.0000 0.0000 0.0918
```

no.,calculated density (g cm⁻³),V (A^3/atom)
1,5.71,35.64
2,4.72,37.86
3,4.10,46.44
4,5.61,37.19
5,5.68,39.91
6,8.53,34.45
7,6.54,36.56
8,6.71,32.46
9,7.00,34.37
10,7.19,44.24
11,6.89,43.34
12,7.19,46.97
13,7.72,38.41